Entry 1:
Computed, not measured: Ca2NiH2 after structural relaxation at the GGA-PBE level of DFT.

- ΔE to the lowest computed polymorph: 97 meV/atom

```
Ca2NiH2
1.0
6.798 0.000 0.000
0.000 6.798 0.000
0.000 0.000 3.112
Ca Ni H
4 2 4
direct
0.179 0.321 0.000 Ca
0.321 0.821 0.000 Ca
0.679 0.179 0.000 Ca
0.821 0.679 0.000 Ca
0.000 0.000 0.500 Ni
0.500 0.500 0.500 Ni
0.126 0.626 0.500 H
0.374 0.126 0.500 H
0.626 0.874 0.500 H
0.874 0.374 0.500 H
```



Entry 2:
Computed, not measured: TbCe2Y after structural relaxation at the GGA-PBE level of DFT.

- Energy of formation: 0.10 eV/atom
- ΔE to the lowest computed polymorph: 0 meV/atom

```
TbCe2Y
1.0
1.749 1.010 11.549
-1.749 1.010 11.549
0.000 -2.020 11.549
Tb Ce Y
1 2 1
direct
0.000 0.000 0.000 Tb
0.250 0.250 0.250 Ce
0.750 0.750 0.750 Ce
0.500 0.500 0.500 Y
```



Looking at volume for the records above, in order, we have 14.382 30.600 A^3/atom.